No. 1
Compound: DyAlNi
Source: Alexandria via LeMat-Bulk
Functional: PBE
Structure: optimized geometry

Calculated values
space-group type = P-62m
M_tot = 0.00 μB per formula unit
formation energy from the elements = -1.82 eV per formula unit
N(E_F) = 7.72 states/eV/cell

abc: 6.967 6.967 3.893
angles: 90.00 90.00 120.00
Positions (direct):
1 Dy 0.000 0.583 0.000
2 Dy 0.417 0.417 0.000
3 Dy 0.583 0.000 0.000
4 Al 0.000 0.235 0.500
5 Al 0.235 0.000 0.500
6 Al 0.765 0.765 0.500
7 Ni 0.000 0.000 0.000
8 Ni 0.333 0.667 0.500
9 Ni 0.667 0.333 0.500

No. 2
Compound: Dy3Al2Ni6
Source: Alexandria via LeMat-Bulk
Functional: PBE
Structure: optimized geometry

Calculated values
space-group type = Im-3m
M_tot = 0.00 μB per formula unit
formation energy from the elements = -6.21 eV per formula unit
N(E_F) = 13.84 states/eV/cell

abc: 7.726 7.726 7.726
angles: 109.47 109.47 109.47
Positions (direct):
1 Dy 0.000 0.293 0.293
2 Dy 0.000 0.707 0.707
3 Dy 0.293 0.000 0.293
4 Dy 0.293 0.293 0.000
5 Dy 0.707 0.000 0.707
6 Dy 0.707 0.707 0.000
7 Al 0.000 0.000 0.500
8 Al 0.000 0.500 0.000
9 Al 0.500 0.000 0.000
10 Al 0.500 0.500 0.500
11 Ni 0.000 0.334 0.666
12 Ni 0.000 0.666 0.334
13 Ni 0.332 0.666 0.666
14 Ni 0.334 0.000 0.666
15 Ni 0.334 0.334 0.668
16 Ni 0.334 0.666 0.000
17 Ni 0.334 0.668 0.334
18 Ni 0.666 0.000 0.334
19 Ni 0.666 0.332 0.666
20 Ni 0.666 0.334 0.000
21 Ni 0.666 0.666 0.332
22 Ni 0.668 0.334 0.334